Below is a relaxed ReSi3B crystal, with properties calculated at the PBE level.

## Properties
The value obtained for the mass density is 4.582 g/cm³. For the size of the total moment, the calculation gives 1.456 μB/f.u. For the density of states at the Fermi level, the calculation gives 7.28 states/eV per cell. As for the volume: 20.388 Å³ per atom. Its energy above the most stable polymorph in this dataset is 33.0 kJ/mol of atoms.

CIF file:
```
data_ReSi3B
_chemical_formula_sum 'Re1 Si3 B1'
_space_group_name_H-M_alt 'P m -3 m'
_space_group_IT_number 221
_space_group_name_Hall '-P 4 2 3'
_cell_length_a 4.671
_cell_length_b 4.671
_cell_length_c 4.671
_cell_angle_alpha 90.00
_cell_angle_beta 90.00
_cell_angle_gamma 90.00
loop_
_atom_site_label
_atom_site_fract_x
_atom_site_fract_y
_atom_site_fract_z
Re1 0.000 0.000 0.000
Si1 0.000 0.000 0.500
B1 0.500 0.500 0.500
```